1.
Here is a relaxed structure of BaBC2Br from the Alexandria database. Energies are from PBE.

Properties
The value obtained for the density is 4.3 Mg/m³. The space group is No. 123. For the total magnetization, the calculation gives 1.19 μB per formula unit.

Cell lengths 3.982, 3.982, 6.188 Å; angles 90.00, 90.00, 90.00 degrees
Sites, in units of the cell vectors:
Ba: 0.000 0.000 0.000
B: 0.000 0.000 0.500
C: 0.000 0.500 0.500
C: 0.500 0.000 0.500
Br: 0.500 0.500 0.000

---

2.
Here is a relaxed structure of BaBC2Br from the Alexandria database. Energies are from PBE.

Properties
The value obtained for the density is 4.8 Mg/m³. The space group is No. 123. For the total magnetization, the calculation gives 1.50 μB per formula unit.

Cell lengths 4.084, 4.084, 5.182 Å; angles 90.00, 90.00, 90.00 degrees
Sites, in units of the cell vectors:
Ba: 0.000 0.000 0.000
B: 0.500 0.500 0.500
C: 0.000 0.500 0.500
C: 0.500 0.000 0.500
Br: 0.500 0.500 0.000

---

According to the calculations, the structures order from most to least stable as 2, 1.

---

1.
Here is a relaxed structure of BaB3C3 from the Alexandria database. Energies are from PBE.

Properties
The value obtained for the density is 2.7 Mg/m³. The space group is No. 176. For the total magnetization, the calculation gives 1.05 μB per formula unit.

Cell lengths 7.140, 7.140, 5.814 Å; angles 90.00, 90.00, 120.00 degrees
Sites, in units of the cell vectors:
Ba: 0.333 0.667 0.250
Ba: 0.667 0.333 0.750
B: 0.201 0.404 0.750
B: 0.203 0.799 0.750
B: 0.404 0.203 0.250
B: 0.596 0.797 0.750
B: 0.797 0.201 0.250
B: 0.799 0.596 0.250
C: 0.148 0.575 0.750
C: 0.425 0.573 0.750
C: 0.427 0.852 0.750
C: 0.573 0.148 0.250
C: 0.575 0.427 0.250
C: 0.852 0.425 0.250

---

2.
Here is a relaxed structure of BaB3C3 from the Alexandria database. Energies are from PBE.

Properties
The value obtained for the density is 5.4 Mg/m³. The space group is No. 223. For the total magnetization, the calculation gives 0.00 μB per formula unit.

Cell lengths 5.032, 5.032, 5.032 Å; angles 90.00, 90.00, 90.00 degrees
Sites, in units of the cell vectors:
Ba: 0.000 0.000 0.000
Ba: 0.500 0.500 0.500
B: 0.000 0.250 0.500
B: 0.000 0.750 0.500
B: 0.250 0.500 0.000
B: 0.500 0.000 0.250
B: 0.500 0.000 0.750
B: 0.750 0.500 0.000
C: 0.000 0.500 0.250
C: 0.000 0.500 0.750
C: 0.250 0.000 0.500
C: 0.500 0.250 0.000
C: 0.500 0.750 0.000
C: 0.750 0.000 0.500

---

According to the calculations, the structures order from most to least stable as 2, 1.

---

1.
Here is a relaxed structure of BaB3C from the Alexandria database. Energies are from PBE.

Properties
The value obtained for the density is 2.4 Mg/m³. The space group is No. 221. For the total magnetization, the calculation gives 0.00 μB per formula unit.

Cell lengths 5.003, 5.003, 5.003 Å; angles 90.00, 90.00, 90.00 degrees
Sites, in units of the cell vectors:
Ba: 0.000 0.000 0.000
B: 0.000 0.000 0.500
B: 0.000 0.500 0.000
B: 0.500 0.000 0.000
C: 0.500 0.500 0.500

---

2.
Here is a relaxed structure of BaB3C from the Alexandria database. Energies are from PBE.

Properties
The value obtained for the density is 4.7 Mg/m³. The space group is No. 221. For the total magnetization, the calculation gives 0.00 μB per formula unit.

Cell lengths 3.996, 3.996, 3.996 Å; angles 90.00, 90.00, 90.00 degrees
Sites, in units of the cell vectors:
Ba: 0.000 0.000 0.000
B: 0.000 0.500 0.500
B: 0.500 0.000 0.500
B: 0.500 0.500 0.000
C: 0.500 0.500 0.500

---

According to the calculations, the structures order from most to least stable as 2, 1.

---

1.
Here is a relaxed structure of BaBC3 from the Alexandria database. Energies are from PBE.

Properties
The value obtained for the density is 5.2 Mg/m³. The space group is No. 221. For the total magnetization, the calculation gives 0.00 μB per formula unit.

Cell lengths 3.883, 3.883, 3.883 Å; angles 90.00, 90.00, 90.00 degrees
Sites, in units of the cell vectors:
Ba: 0.000 0.000 0.000
B: 0.500 0.500 0.500
C: 0.000 0.500 0.500
C: 0.500 0.000 0.500
C: 0.500 0.500 0.000

---

2.
Here is a relaxed structure of BaBC3 from the Alexandria database. Energies are from PBE.

Properties
The value obtained for the density is 2.4 Mg/m³. The space group is No. 221. For the total magnetization, the calculation gives 4.35 μB per formula unit.

Cell lengths 5.034, 5.034, 5.034 Å; angles 90.00, 90.00, 90.00 degrees
Sites, in units of the cell vectors:
Ba: 0.000 0.000 0.000
B: 0.500 0.500 0.500
C: 0.000 0.000 0.500
C: 0.000 0.500 0.000
C: 0.500 0.000 0.000

---

According to the calculations, the structures order from most to least stable as 1, 2.

---

1.
Here is a relaxed structure of BaBPb2C from the Alexandria database. Energies are from PBE.

Properties
The value obtained for the density is 7.6 Mg/m³. The space group is No. 123. For the total magnetization, the calculation gives 0.00 μB per formula unit.

Cell lengths 6.397, 6.397, 3.062 Å; angles 90.00, 90.00, 90.00 degrees
Sites, in units of the cell vectors:
Ba: 0.000 0.000 0.000
B: 0.500 0.500 0.000
Pb: 0.000 0.500 0.500
Pb: 0.500 0.000 0.500
C: 0.500 0.500 0.500

---

2.
Here is a relaxed structure of BaBPb2C from the Alexandria database. Energies are from PBE.

Properties
The value obtained for the density is 6.7 Mg/m³. The space group is No. 123. For the total magnetization, the calculation gives 1.59 μB per formula unit.

Cell lengths 4.751, 4.751, 6.281 Å; angles 90.00, 90.00, 90.00 degrees
Sites, in units of the cell vectors:
Ba: 0.000 0.000 0.000
B: 0.000 0.000 0.500
Pb: 0.000 0.500 0.500
Pb: 0.500 0.000 0.500
C: 0.500 0.500 0.000

---

According to the calculations, the structures order from most to least stable as 1, 2.

---

1.
Here is a relaxed structure of Ba2CdB from the Alexandria database. Energies are from PBE.

Properties
The value obtained for the density is 5.2 Mg/m³. The space group is No. 225. For the total magnetization, the calculation gives 0.02 μB per formula unit.

Cell lengths 7.997, 7.997, 7.997 Å; angles 90.00, 90.00, 90.00 degrees
Sites, in units of the cell vectors:
Ba: 0.250 0.250 0.250
Ba: 0.250 0.250 0.750
Ba: 0.250 0.750 0.250
Ba: 0.250 0.750 0.750
Ba: 0.750 0.250 0.250
Ba: 0.750 0.250 0.750
Ba: 0.750 0.750 0.250
Ba: 0.750 0.750 0.750
Cd: 0.000 0.000 0.000
Cd: 0.000 0.500 0.500
Cd: 0.500 0.000 0.500
Cd: 0.500 0.500 0.000
B: 0.000 0.000 0.500
B: 0.000 0.500 0.000
B: 0.500 0.000 0.000
B: 0.500 0.500 0.500

---

2.
Here is a relaxed structure of Ba2CdB from the Alexandria database. Energies are from PBE.

Properties
The value obtained for the density is 4.3 Mg/m³. The space group is No. 122. For the total magnetization, the calculation gives 1.03 μB per formula unit.

Cell lengths 8.739, 8.739, 7.988 Å; angles 90.00, 90.00, 90.00 degrees
Sites, in units of the cell vectors:
Ba: 0.181 0.250 0.125
Ba: 0.250 0.681 0.375
Ba: 0.250 0.819 0.875
Ba: 0.319 0.250 0.625
Ba: 0.681 0.750 0.625
Ba: 0.750 0.181 0.875
Ba: 0.750 0.319 0.375
Ba: 0.819 0.750 0.125
Cd: 0.000 0.000 0.500
Cd: 0.000 0.500 0.750
Cd: 0.500 0.000 0.250
Cd: 0.500 0.500 0.000
B: 0.000 0.000 0.000
B: 0.000 0.500 0.250
B: 0.500 0.000 0.750
B: 0.500 0.500 0.500

---

According to the calculations, the structures order from most to least stable as 1, 2.

---

1.
Here is a relaxed structure of BaB3Cl from the Alexandria database. Energies are from PBE.

Properties
The value obtained for the density is 2.0 Mg/m³. The space group is No. 221. For the total magnetization, the calculation gives 0.25 μB per formula unit.

Cell lengths 5.512, 5.512, 5.512 Å; angles 90.00, 90.00, 90.00 degrees
Sites, in units of the cell vectors:
Ba: 0.000 0.000 0.000
B: 0.000 0.000 0.500
B: 0.000 0.500 0.000
B: 0.500 0.000 0.000
Cl: 0.500 0.500 0.500

---

2.
Here is a relaxed structure of BaB3Cl from the Alexandria database. Energies are from PBE.

Properties
The value obtained for the density is 3.3 Mg/m³. The space group is No. 221. For the total magnetization, the calculation gives 0.00 μB per formula unit.

Cell lengths 4.696, 4.696, 4.696 Å; angles 90.00, 90.00, 90.00 degrees
Sites, in units of the cell vectors:
Ba: 0.000 0.000 0.000
B: 0.000 0.500 0.500
B: 0.500 0.000 0.500
B: 0.500 0.500 0.000
Cl: 0.500 0.500 0.500

---

According to the calculations, the structures order from most to least stable as 2, 1.

---

1.
Here is a relaxed structure of Ba2BCl from the Alexandria database. Energies are from PBE.

Properties
The value obtained for the density is 4.6 Mg/m³. The space group is No. 225. For the total magnetization, the calculation gives 2.01 μB per formula unit.

Cell lengths 7.742, 7.742, 7.742 Å; angles 90.00, 90.00, 90.00 degrees
Sites, in units of the cell vectors:
Ba: 0.250 0.250 0.250
Ba: 0.250 0.250 0.750
Ba: 0.250 0.750 0.250
Ba: 0.250 0.750 0.750
Ba: 0.750 0.250 0.250
Ba: 0.750 0.250 0.750
Ba: 0.750 0.750 0.250
Ba: 0.750 0.750 0.750
B: 0.000 0.000 0.000
B: 0.000 0.500 0.500
B: 0.500 0.000 0.500
B: 0.500 0.500 0.000
Cl: 0.000 0.000 0.500
Cl: 0.000 0.500 0.000
Cl: 0.500 0.000 0.000
Cl: 0.500 0.500 0.500

---

2.
Here is a relaxed structure of Ba2BCl from the Alexandria database. Energies are from PBE.

Properties
The value obtained for the density is 3.6 Mg/m³. The space group is No. 122. For the total magnetization, the calculation gives 2.00 μB per formula unit.

Cell lengths 7.930, 7.930, 9.506 Å; angles 90.00, 90.00, 90.00 degrees
Sites, in units of the cell vectors:
Ba: 0.219 0.750 0.125
Ba: 0.250 0.219 0.875
Ba: 0.250 0.281 0.375
Ba: 0.281 0.750 0.625
Ba: 0.719 0.250 0.625
Ba: 0.750 0.719 0.375
Ba: 0.750 0.781 0.875
Ba: 0.781 0.250 0.125
B: 0.000 0.000 0.000
B: 0.000 0.500 0.250
B: 0.500 0.000 0.750
B: 0.500 0.500 0.500
Cl: 0.000 0.000 0.500
Cl: 0.000 0.500 0.750
Cl: 0.500 0.000 0.250
Cl: 0.500 0.500 0.000

---

According to the calculations, the structures order from most to least stable as 2, 1.

---

1.
Here is a relaxed structure of BaBSCl2 from the Alexandria database. Energies are from PBE.

Properties
The value obtained for the density is 3.8 Mg/m³. The space group is No. 123. For the total magnetization, the calculation gives 0.00 μB per formula unit.

Cell lengths 5.133, 5.133, 4.142 Å; angles 90.00, 90.00, 90.00 degrees
Sites, in units of the cell vectors:
Ba: 0.000 0.000 0.000
B: 0.500 0.500 0.500
S: 0.500 0.500 0.000
Cl: 0.000 0.500 0.500
Cl: 0.500 0.000 0.500

---

2.
Here is a relaxed structure of BaBSCl2 from the Alexandria database. Energies are from PBE.

Properties
The value obtained for the density is 1.9 Mg/m³. The space group is No. 123. For the total magnetization, the calculation gives 1.00 μB per formula unit.

Cell lengths 5.949, 5.949, 6.314 Å; angles 90.00, 90.00, 90.00 degrees
Sites, in units of the cell vectors:
Ba: 0.000 0.000 0.000
B: 0.500 0.500 0.500
S: 0.000 0.000 0.500
Cl: 0.000 0.500 0.000
Cl: 0.500 0.000 0.000

---

According to the calculations, the structures order from most to least stable as 1, 2.

---

1.
Here is a relaxed structure of BaBS2Cl from the Alexandria database. Energies are from PBE.

Properties
The value obtained for the density is 1.8 Mg/m³. The space group is No. 123. For the total magnetization, the calculation gives 2.00 μB per formula unit.

Cell lengths 6.145, 6.145, 5.918 Å; angles 90.00, 90.00, 90.00 degrees
Sites, in units of the cell vectors:
Ba: 0.000 0.000 0.000
B: 0.500 0.500 0.500
S: 0.000 0.500 0.000
S: 0.500 0.000 0.000
Cl: 0.000 0.000 0.500

---

2.
Here is a relaxed structure of BaBS2Cl from the Alexandria database. Energies are from PBE.

Properties
The value obtained for the density is 4.0 Mg/m³. The space group is No. 123. For the total magnetization, the calculation gives 0.00 μB per formula unit.

Cell lengths 4.367, 4.367, 5.370 Å; angles 90.00, 90.00, 90.00 degrees
Sites, in units of the cell vectors:
Ba: 0.000 0.000 0.000
B: 0.500 0.500 0.500
S: 0.000 0.500 0.500
S: 0.500 0.000 0.500
Cl: 0.500 0.500 0.000

---

According to the calculations, the structures order from most to least stable as 2, 1.

---

1.
Here is a relaxed structure of BaCoB2 from the Alexandria database. Energies are from PBE.

Properties
The value obtained for the density is 5.0 Mg/m³. The space group is No. 141. For the total magnetization, the calculation gives 0.00 μB per formula unit.

Cell lengths 5.177, 5.177, 10.697 Å; angles 90.00, 90.00, 90.00 degrees
Sites, in units of the cell vectors:
Ba: 0.000 0.250 0.375
Ba: 0.000 0.750 0.625
Ba: 0.500 0.250 0.125
Ba: 0.500 0.750 0.875
Co: 0.000 0.250 0.875
Co: 0.000 0.750 0.125
Co: 0.500 0.250 0.625
Co: 0.500 0.750 0.375
B: 0.000 0.000 0.000
B: 0.000 0.500 0.000
B: 0.250 0.250 0.750
B: 0.250 0.750 0.250
B: 0.500 0.000 0.500
B: 0.500 0.500 0.500
B: 0.750 0.250 0.750
B: 0.750 0.750 0.250

---

2.
Here is a relaxed structure of BaCoB2 from the Alexandria database. Energies are from PBE.

Properties
The value obtained for the density is 5.6 Mg/m³. The space group is No. 225. For the total magnetization, the calculation gives 0.72 μB per formula unit.

Cell lengths 6.373, 6.373, 6.373 Å; angles 90.00, 90.00, 90.00 degrees
Sites, in units of the cell vectors:
Ba: 0.000 0.000 0.000
Ba: 0.000 0.500 0.500
Ba: 0.500 0.000 0.500
Ba: 0.500 0.500 0.000
Co: 0.000 0.000 0.500
Co: 0.000 0.500 0.000
Co: 0.500 0.000 0.000
Co: 0.500 0.500 0.500
B: 0.250 0.250 0.250
B: 0.250 0.250 0.750
B: 0.250 0.750 0.250
B: 0.250 0.750 0.750
B: 0.750 0.250 0.250
B: 0.750 0.250 0.750
B: 0.750 0.750 0.250
B: 0.750 0.750 0.750

---

According to the calculations, the structures order from most to least stable as 1, 2.